Below is Sc2CoGe3 after structural relaxation, with properties calculated at the PBE-GGA level.

Summary:
- magnetic moment (μB/f.u.) = 0.00
- relative energy among the computed polymorphs (meV/atom) = 0.0
- symmetry = Cm (8)

```
Sc2CoGe3
1.0
-3.131 1.742 -2.038
-0.495 -1.839 -4.980
-4.480 -3.183 -0.008
Sc Co Ge
2 1 3
Cartesian
-5.018 -1.667 -2.054
-3.177 -1.762 -4.963
-1.943 -1.274 -2.272
-5.931 -1.605 -4.766
-3.267 0.503 -2.888
-4.980 -4.034 -4.135
```

Below is ScCo2Ge after structural relaxation, with properties calculated at the PBE-GGA level.

Summary:
- magnetic moment (μB/f.u.) = 0.00
- symmetry = P4/mmm (123)
- calculated total energy (eV per atom) = -6.6647

```
ScCo2Ge
1.0
-2.172 1.184 -2.196
-3.029 -1.114 2.395
0.118 3.583 1.816
Sc Ge Co
1 1 2
Cartesian
-1.086 0.592 -1.098
-2.541 1.827 1.007
0.059 1.791 0.908
-1.514 -0.557 1.197
```

Below is Sc3Co2Ge4 after structural relaxation, with properties calculated at the PBE-GGA level.

Summary:
- magnetic moment (μB/f.u.) = 0.00
- symmetry = C2/m (12)
- calculated total energy (eV per atom) = -6.4290

```
Sc3Co2Ge4
1.0
4.043 0.000 0.000
-2.022 5.084 -0.155
0.000 -2.273 7.356
Sc Co Ge
3 2 4
Cartesian
2.022 -0.264 5.039
0.000 0.000 0.000
0.000 3.075 2.161
2.022 1.077 2.684
0.000 1.734 4.516
2.022 1.921 0.500
0.000 0.890 6.700
2.022 2.835 4.315
0.000 -0.024 2.885
```

Below is Sc2Co4Ge3 after structural relaxation, with properties calculated at the PBE-GGA level.

Summary:
- magnetic moment (μB/f.u.) = 0.00
- symmetry = Cmce (64)
- calculated total energy (eV per atom) = -6.5834

```
Sc2Co4Ge3
1.0
5.236 0.000 0.000
0.000 6.908 0.000
-2.618 0.000 7.026
Sc Co Ge
4 8 6
Cartesian
0.000 4.052 1.434
2.618 2.857 5.592
0.000 0.598 5.592
2.618 6.311 1.434
1.309 5.181 6.058
3.927 1.727 0.967
1.309 1.727 0.967
-1.309 5.181 6.058
0.000 6.828 2.479
2.618 0.080 4.547
0.000 3.374 4.547
2.618 3.534 2.479
0.000 0.000 0.000
2.618 3.454 0.000
1.309 5.181 3.688
3.927 1.727 3.337
1.309 1.727 3.337
-1.309 5.181 3.688
```